No. 1
## Sc3AuO (PBE-GGA)

Data for an optimized crystal structure of Sc3AuO.

DFT total energy (eV per atom): -6.35
Crystal system: trigonal

a b c (Å): 5.190 5.190 5.190
angles (deg): 107.96 107.96 107.96
Element x y z (fractional)
Sc (0.208, 0.208, 0.583)
Sc (0.208, 0.583, 0.208)
Sc (0.583, 0.208, 0.208)
Au (0.934, 0.934, 0.934)
O (0.481, 0.481, 0.481)



No. 2
## TbEu2SnO6 (PBE-GGA)

Data for an optimized crystal structure of TbEu2SnO6.

DFT total energy (eV per atom): -8.39
Crystal system: cubic

a b c (Å): 5.978 5.978 5.978
angles (deg): 60.00 60.00 60.00
Element x y z (fractional)
Tb (0.000, 0.000, 0.000)
Eu (0.250, 0.250, 0.250)
Eu (0.750, 0.750, 0.750)
Sn (0.500, 0.500, 0.500)
O (0.259, 0.259, 0.741)
O (0.259, 0.741, 0.259)
O (0.259, 0.741, 0.741)
O (0.741, 0.259, 0.259)
O (0.741, 0.259, 0.741)
O (0.741, 0.741, 0.259)



No. 3
## AlHg2P (PBE-GGA)

Data for an optimized crystal structure of AlHg2P.

ΔH_f (0 K) (eV/atom): 0.389
DFT total energy (eV per atom): -2.05
Offset from the most stable computed form (eV per atom): 0.436
Crystal system: orthorhombic

a b c (Å): 5.894 5.894 5.894
angles (deg): 150.01 125.15 63.78
Element x y z (fractional)
Al (0.000, 0.000, 0.000)
Hg (0.249, 0.749, 0.500)
Hg (0.751, 0.251, 0.500)
P (0.500, 0.500, 0.000)



No. 4
## Y2Au (PBE-GGA)

Data for an optimized crystal structure of Y2Au.

ΔH_f (0 K) (eV/atom): -0.436
DFT total energy (eV per atom): -5.84
Crystal system: cubic

a b c (Å): 7.113 7.113 7.113
angles (deg): 90.00 90.00 90.00
Element x y z (fractional)
Y (0.156, 0.156, 0.156)
Y (0.156, 0.344, 0.656)
Y (0.344, 0.656, 0.156)
Y (0.344, 0.844, 0.656)
Y (0.656, 0.156, 0.344)
Y (0.656, 0.344, 0.844)
Y (0.844, 0.656, 0.344)
Y (0.844, 0.844, 0.844)
Au (0.000, 0.000, 0.500)
Au (0.000, 0.500, 0.000)
Au (0.500, 0.000, 0.000)
Au (0.500, 0.500, 0.500)



No. 5
## HfZn2Bi (PBE-GGA)

Data for an optimized crystal structure of HfZn2Bi.

ΔH_f (0 K) (eV/atom): 0.034
DFT total energy (eV per atom): -4.06
Crystal system: tetragonal

a b c (Å): 4.349 4.349 4.241
angles (deg): 90.00 90.00 90.00
Element x y z (fractional)
Hf (0.000, 0.000, 0.000)
Zn (0.000, 0.500, 0.500)
Zn (0.500, 0.000, 0.500)
Bi (0.500, 0.500, 0.000)



No. 6
## Na2PF6 (PBE-GGA)

Data for an optimized crystal structure of Na2PF6.

DFT total energy (eV per atom): -4.56
Crystal system: tetragonal

a b c (Å): 4.998 4.998 9.878
angles (deg): 90.00 90.00 90.00
Element x y z (fractional)
Na (0.000, 0.000, 0.164)
Na (0.000, 0.000, 0.836)
Na (0.500, 0.500, 0.336)
Na (0.500, 0.500, 0.664)
P (0.000, 0.000, 0.500)
P (0.500, 0.500, 0.000)
F (0.177, 0.177, 0.367)
F (0.177, 0.177, 0.633)
F (0.245, 0.245, 0.000)
F (0.255, 0.745, 0.500)
F (0.323, 0.677, 0.133)
F (0.323, 0.677, 0.867)
F (0.677, 0.323, 0.133)
F (0.677, 0.323, 0.867)
F (0.745, 0.255, 0.500)
F (0.755, 0.755, 0.000)
F (0.823, 0.823, 0.367)
F (0.823, 0.823, 0.633)



No. 7
## Zr3TcI (PBE-GGA)

Data for an optimized crystal structure of Zr3TcI.

DFT total energy (eV per atom): -6.12
Offset from the most stable computed form (eV per atom): 0.982
Crystal system: cubic

a b c (Å): 5.171 5.171 5.171
angles (deg): 90.00 90.00 90.00
Element x y z (fractional)
Zr (0.000, 0.000, 0.500)
Zr (0.000, 0.500, 0.000)
Zr (0.500, 0.000, 0.000)
Tc (0.500, 0.500, 0.500)
I (0.000, 0.000, 0.000)



No. 8
## LaCu2Au2 (PBE-GGA)

Data for an optimized crystal structure of LaCu2Au2.

ΔH_f (0 K) (eV/atom): -0.256
DFT total energy (eV per atom): -4.19
Offset from the most stable computed form (eV per atom): 0.123
Crystal system: tetragonal

a b c (Å): 7.603 7.603 3.238
angles (deg): 90.00 90.00 90.00
Element x y z (fractional)
La (0.000, 0.000, 0.000)
La (0.500, 0.500, 0.000)
Cu (0.115, 0.385, 0.000)
Cu (0.385, 0.885, 0.000)
Cu (0.615, 0.115, 0.000)
Cu (0.885, 0.615, 0.000)
Au (0.176, 0.676, 0.500)
Au (0.324, 0.176, 0.500)
Au (0.676, 0.824, 0.500)
Au (0.824, 0.324, 0.500)



No. 9
## Zn2CdCu (PBE-GGA)

Data for an optimized crystal structure of Zn2CdCu.

ΔH_f (0 K) (eV/atom): 0.069
DFT total energy (eV per atom): -1.82
Crystal system: tetragonal

a b c (Å): 3.957 3.957 4.026
angles (deg): 90.00 90.00 90.00
Element x y z (fractional)
Zn (0.000, 0.500, 0.000)
Zn (0.500, 0.000, 0.000)
Cd (0.000, 0.000, 0.500)
Cu (0.500, 0.500, 0.500)



No. 10
## Li3SmHg2 (PBE-GGA)

Data for an optimized crystal structure of Li3SmHg2.

ΔH_f (0 K) (eV/atom): -0.308
DFT total energy (eV per atom): -2.15
Crystal system: monoclinic

a b c (Å): 7.773 7.773 9.597
angles (deg): 121.80 121.80 31.52
Element x y z (fractional)
Li (0.064, 0.064, 0.412)
Li (0.261, 0.261, 0.416)
Li (0.425, 0.425, 0.318)
Li (0.575, 0.575, 0.682)
Li (0.739, 0.739, 0.584)
Li (0.936, 0.936, 0.588)
Sm (0.124, 0.124, 0.999)
Sm (0.876, 0.876, 0.001)
Hg (0.204, 0.204, 0.753)
Hg (0.423, 0.423, 0.778)
Hg (0.577, 0.577, 0.222)
Hg (0.796, 0.796, 0.247)



No. 11
## Er6Ga2Sn (PBE-GGA)

Data for an optimized crystal structure of Er6Ga2Sn.

ΔH_f (0 K) (eV/atom): -0.484
DFT total energy (eV per atom): -4.64
Crystal system: orthorhombic

a b c (Å): 8.548 8.548 8.548
angles (deg): 112.43 111.99 104.12
Element x y z (fractional)
Er (0.024, 0.821, 0.202)
Er (0.241, 0.538, 0.297)
Er (0.241, 0.944, 0.703)
Er (0.277, 0.316, 0.593)
Er (0.277, 0.684, 0.961)
Er (0.381, 0.179, 0.202)
Er (0.619, 0.821, 0.798)
Er (0.723, 0.316, 0.039)
Er (0.723, 0.684, 0.407)
Er (0.759, 0.056, 0.297)
Er (0.759, 0.462, 0.703)
Er (0.976, 0.179, 0.798)
Ga (0.000, 0.146, 0.146)
Ga (0.000, 0.854, 0.854)
Ga (0.379, 0.379, 0.000)
Ga (0.621, 0.621, 0.000)
Sn (0.000, 0.500, 0.500)
Sn (0.500, 0.000, 0.500)



No. 12
## TaSiPd (PBE-GGA)

Data for an optimized crystal structure of TaSiPd.

DFT total energy (eV per atom): -7.75
Crystal system: triclinic

a b c (Å): 5.279 6.140 6.140
angles (deg): 78.93 78.43 78.42
Element x y z (fractional)
Ta (0.211, 0.336, 0.087)
Ta (0.211, 0.837, 0.586)
Ta (0.789, 0.163, 0.414)
Ta (0.789, 0.664, 0.913)
Si (0.459, 0.045, 0.795)
Si (0.459, 0.545, 0.295)
Si (0.541, 0.455, 0.705)
Si (0.541, 0.955, 0.205)
Pd (0.179, 0.328, 0.578)
Pd (0.180, 0.827, 0.077)
Pd (0.820, 0.173, 0.923)
Pd (0.821, 0.672, 0.422)



No. 13
## Sb2TePb (PBE-GGA)

Data for an optimized crystal structure of Sb2TePb.

DFT total energy (eV per atom): -3.67
Offset from the most stable computed form (eV per atom): 0.242
Crystal system: orthorhombic

a b c (Å): 6.396 6.396 6.396
angles (deg): 143.87 129.76 63.43
Element x y z (fractional)
Sb (0.231, 0.231, 0.000)
Sb (0.769, 0.769, 0.000)
Te (0.000, 0.500, 0.500)
Pb (0.500, 0.000, 0.500)



No. 14
## SmI2Br (PBE-GGA)

Data for an optimized crystal structure of SmI2Br.

DFT total energy (eV per atom): -3.91
Offset from the most stable computed form (eV per atom): 0.000
Crystal system: triclinic

a b c (Å): 4.455 5.721 8.715
angles (deg): 89.00 75.26 89.99
Element x y z (fractional)
Sm (0.000, 0.000, 0.000)
I (0.372, 0.994, 0.257)
I (0.628, 0.006, 0.743)
Br (0.000, 0.500, 0.000)



No. 15
## LiDyHfSe4 (PBE-GGA)

Data for an optimized crystal structure of LiDyHfSe4.

DFT total energy (eV per atom): -5.88
Crystal system: orthorhombic

a b c (Å): 8.066 8.066 8.066
angles (deg): 121.68 118.72 89.67
Element x y z (fractional)
Li (0.375, 0.125, 0.250)
Li (0.625, 0.875, 0.750)
Dy (0.000, 0.500, 0.500)
Dy (0.500, 0.500, 0.000)
Hf (0.000, 0.000, 0.500)
Hf (0.000, 0.500, 0.000)
Se (0.227, 0.249, 0.978)
Se (0.229, 0.751, 0.478)
Se (0.234, 0.234, 0.500)
Se (0.234, 0.733, 0.000)
Se (0.766, 0.267, 0.000)
Se (0.766, 0.766, 0.500)
Se (0.771, 0.249, 0.522)
Se (0.773, 0.751, 0.022)



No. 16
## Tb3SmDy2Ho6 (PBE-GGA)

Data for an optimized crystal structure of Tb3SmDy2Ho6.

ΔH_f (0 K) (eV/atom): 0.016
DFT total energy (eV per atom): -4.59
Crystal system: monoclinic

a b c (Å): 6.135 6.135 11.734
angles (deg): 94.97 94.97 119.95
Element x y z (fractional)
Tb (0.000, 0.000, 0.000)
Tb (0.333, 0.667, 0.000)
Tb (0.667, 0.333, 0.000)
Sm (0.500, 0.500, 0.500)
Dy (0.167, 0.833, 0.500)
Dy (0.833, 0.167, 0.500)
Ho (0.082, 0.416, 0.250)
Ho (0.250, 0.250, 0.750)
Ho (0.416, 0.082, 0.250)
Ho (0.584, 0.918, 0.750)
Ho (0.750, 0.750, 0.250)
Ho (0.918, 0.584, 0.750)



No. 17
## Tb2Pm4Y5 (PBE-GGA)

Data for an optimized crystal structure of Tb2Pm4Y5.

ΔH_f (0 K) (eV/atom): 0.143
DFT total energy (eV per atom): -5.36
Offset from the most stable computed form (eV per atom): 0.039
Crystal system: monoclinic

a b c (Å): 12.155 12.155 8.809
angles (deg): 97.21 97.21 16.54
Element x y z (fractional)
Tb (0.231, 0.231, 0.327)
Tb (0.769, 0.769, 0.673)
Pm (0.047, 0.047, 0.860)
Pm (0.322, 0.322, 0.030)
Pm (0.678, 0.678, 0.970)
Pm (0.953, 0.953, 0.140)
Y (0.090, 0.090, 0.239)
Y (0.141, 0.141, 0.615)
Y (0.500, 0.500, 0.500)
Y (0.859, 0.859, 0.385)
Y (0.910, 0.910, 0.761)



No. 18
## Tb2BrN (PBE-GGA)

Data for an optimized crystal structure of Tb2BrN.

DFT total energy (eV per atom): -6.08
Crystal system: orthorhombic

a b c (Å): 3.804 9.850 5.488
angles (deg): 90.00 90.00 90.00
Element x y z (fractional)
Tb (0.000, 0.083, 0.000)
Tb (0.000, 0.722, 0.964)
Tb (0.500, 0.278, 0.464)
Tb (0.500, 0.917, 0.500)
Br (0.000, 0.405, 0.115)
Br (0.500, 0.595, 0.615)
N (0.000, 0.899, 0.744)
N (0.500, 0.101, 0.244)



No. 19
## PaCo5GeP2 (PBE-GGA)

Data for an optimized crystal structure of PaCo5GeP2.

ΔH_f (0 K) (eV/atom): -0.572
DFT total energy (eV per atom): -7.29
Crystal system: tetragonal

a b c (Å): 3.828 3.828 7.851
angles (deg): 90.00 90.00 90.00
Element x y z (fractional)
Pa (0.000, 0.000, 0.000)
Co (0.000, 0.500, 0.289)
Co (0.000, 0.500, 0.711)
Co (0.500, 0.000, 0.289)
Co (0.500, 0.000, 0.711)
Co (0.500, 0.500, 0.500)
Ge (0.000, 0.000, 0.500)
P (0.500, 0.500, 0.153)
P (0.500, 0.500, 0.847)



No. 20
## ThGaGe2Rh2 (PBE-GGA)

Data for an optimized crystal structure of ThGaGe2Rh2.

ΔH_f (0 K) (eV/atom): -0.267
DFT total energy (eV per atom): -6.00
Crystal system: tetragonal

a b c (Å): 4.583 4.583 5.616
angles (deg): 90.00 90.00 90.00
Element x y z (fractional)
Th (0.000, 0.000, 0.000)
Ga (0.000, 0.000, 0.500)
Ge (0.500, 0.500, 0.235)
Ge (0.500, 0.500, 0.765)
Rh (0.000, 0.500, 0.500)
Rh (0.500, 0.000, 0.500)



No. 21
## NdAl3CuPd (PBE-GGA)

Data for an optimized crystal structure of NdAl3CuPd.

ΔH_f (0 K) (eV/atom): -0.406
DFT total energy (eV per atom): -4.62
Crystal system: orthorhombic

a b c (Å): 6.866 6.866 5.943
angles (deg): 90.00 90.00 125.79
Element x y z (fractional)
Nd (0.220, 0.780, 0.750)
Nd (0.780, 0.220, 0.250)
Al (0.211, 0.211, 0.000)
Al (0.211, 0.211, 0.500)
Al (0.351, 0.649, 0.250)
Al (0.649, 0.351, 0.750)
Al (0.789, 0.789, 0.000)
Al (0.789, 0.789, 0.500)
Cu (0.443, 0.557, 0.750)
Cu (0.557, 0.443, 0.250)
Pd (0.140, 0.860, 0.250)
Pd (0.860, 0.140, 0.750)



No. 22
## Nb2TlRh2 (PBE-GGA)

Data for an optimized crystal structure of Nb2TlRh2.

ΔH_f (0 K) (eV/atom): 0.186
DFT total energy (eV per atom): -7.26
Offset from the most stable computed form (eV per atom): 0.372
Crystal system: tetragonal

a b c (Å): 6.766 6.766 6.766
angles (deg): 145.81 145.81 49.13
Element x y z (fractional)
Nb (0.114, 0.114, 0.000)
Nb (0.886, 0.886, 0.000)
Tl (0.500, 0.500, 0.000)
Rh (0.250, 0.750, 0.500)
Rh (0.750, 0.250, 0.500)



No. 23
## MnCo2GeAu (PBE-GGA)

Data for an optimized crystal structure of MnCo2GeAu.

ΔH_f (0 K) (eV/atom): 1.331
DFT total energy (eV per atom): -4.92
Crystal system: tetragonal

a b c (Å): 4.760 4.760 4.634
angles (deg): 90.00 90.00 90.00
Element x y z (fractional)
Mn (0.000, 0.000, 0.000)
Co (0.000, 0.500, 0.500)
Co (0.500, 0.000, 0.500)
Ge (0.500, 0.500, 0.000)
Au (0.500, 0.500, 0.500)



No. 24
## LiPaBr6 (PBE-GGA)

Data for an optimized crystal structure of LiPaBr6.

DFT total energy (eV per atom): -4.13
Offset from the most stable computed form (eV per atom): 0.000
Crystal system: monoclinic

a b c (Å): 7.479 7.479 7.006
angles (deg): 100.07 100.07 124.08
Element x y z (fractional)
Li (0.000, 0.000, 0.000)
Pa (0.500, 0.500, 0.500)
Br (0.105, 0.391, 0.247)
Br (0.267, 0.267, 0.731)
Br (0.391, 0.105, 0.247)
Br (0.609, 0.895, 0.753)
Br (0.733, 0.733, 0.269)
Br (0.895, 0.609, 0.753)